# 1
# Ce5GeRu5, optimized geometry, DFT PBE-GGA
# volume: 22.33 Å³ per atom
# energy of formation from the pure elements: -0.2460 eV/atom
# total DFT energy (no corrections): -7.579 eV per atom
data_Ce5GeRu5
_symmetry_space_group_name_H-M 'C 1 2/m 1'
_symmetry_Int_Tables_number 12
_cell_length_a 11.9227
_cell_length_b 5.2327
_cell_length_c 8.4251
_cell_angle_alpha 90.00
_cell_angle_beta 110.82
_cell_angle_gamma 90.00
loop_
_symmetry_equiv_pos_as_xyz
'x,y,z'
'-x,-y,-z'
'-x,y,-z'
'x,-y,z'
'x+1/2,y+1/2,z'
'-x+1/2,-y+1/2,-z'
'-x+1/2,y+1/2,-z'
'x+1/2,-y+1/2,z'
loop_
_atom_site_label
_atom_site_type_symbol
_atom_site_fract_x
_atom_site_fract_y
_atom_site_fract_z
Ce1 Ce 0.0000 0.0000 0.0000
Ce2 Ce 0.1753 0.5000 0.8316
Ce3 Ce 0.1771 0.5000 0.3444
Ge1 Ge 0.0000 0.0000 0.5000
Ru1 Ru 0.0000 0.5000 0.5000
Ru2 Ru 0.1259 0.0000 0.3142
Ru3 Ru 0.1361 0.0000 0.8152



# 2
# CeGeRu2, optimized geometry, DFT PBE-GGA
# energy above the most stable polymorph in this dataset: 235 meV per atom
# volume: 16.94 Å³ per atom
# energy of formation from the pure elements: -0.2357 eV/atom
# total DFT energy (no corrections): -7.511 eV per atom
data_CeGeRu2
_symmetry_space_group_name_H-M 'P 4/m m m'
_symmetry_Int_Tables_number 123
_symmetry_space_group_name_Hall '-P 4 2'
_cell_length_a 3.1406
_cell_length_b 3.1406
_cell_length_c 6.8709
_cell_angle_alpha 90.00
_cell_angle_beta 90.00
_cell_angle_gamma 90.00
loop_
_atom_site_label
_atom_site_type_symbol
_atom_site_fract_x
_atom_site_fract_y
_atom_site_fract_z
Ce1 Ce 0.0000 0.0000 0.0000
Ge1 Ge 0.0000 0.0000 0.5000
Ru1 Ru 0.5000 0.5000 0.2949



# 3
# CeGe6Ru5, optimized geometry, DFT PBE-GGA
# volume: 16.44 Å³ per atom
# energy of formation from the pure elements: -0.2367 eV/atom
# total DFT energy (no corrections): -6.905 eV per atom
data_CeGe6Ru5
_symmetry_space_group_name_H-M 'C 1 2/m 1'
_symmetry_Int_Tables_number 12
_cell_length_a 5.4157
_cell_length_b 11.6348
_cell_length_c 6.7585
_cell_angle_alpha 90.00
_cell_angle_beta 112.11
_cell_angle_gamma 90.00
loop_
_symmetry_equiv_pos_as_xyz
'x,y,z'
'-x,-y,-z'
'-x,y,-z'
'x,-y,z'
'x+1/2,y+1/2,z'
'-x+1/2,-y+1/2,-z'
'-x+1/2,y+1/2,-z'
'x+1/2,-y+1/2,z'
loop_
_atom_site_label
_atom_site_type_symbol
_atom_site_fract_x
_atom_site_fract_y
_atom_site_fract_z
Ce1 Ce 0.0000 0.0000 0.0000
Ge1 Ge 0.0136 0.1933 0.3023
Ge2 Ge 0.0679 0.5000 0.2149
Ru1 Ru 0.0000 0.0000 0.5000
Ru2 Ru 0.0000 0.3135 0.0000
Ru3 Ru 0.0000 0.3807 0.5000



# 4
# Ce3GeRu4, optimized geometry, DFT PBE-GGA
# volume: 19.53 Å³ per atom
# energy of formation from the pure elements: -0.3555 eV/atom
# total DFT energy (no corrections): -7.796 eV per atom
data_Ce3GeRu4
_symmetry_space_group_name_H-M 'P m n 21'
_symmetry_Int_Tables_number 31
_cell_length_a 11.3941
_cell_length_b 5.1918
_cell_length_c 5.2828
_cell_angle_alpha 90.00
_cell_angle_beta 90.00
_cell_angle_gamma 90.00
loop_
_symmetry_equiv_pos_as_xyz
'x,y,z'
'-x+1/2,-y,z+1/2'
'-x,y,z'
'x+1/2,-y,z+1/2'
loop_
_atom_site_label
_atom_site_type_symbol
_atom_site_fract_x
_atom_site_fract_y
_atom_site_fract_z
Ce1 Ce 0.0000 0.1296 0.0000
Ce2 Ce 0.2460 0.2899 0.4584
Ge1 Ge 0.0000 0.6134 0.6693
Ru1 Ru 0.0000 0.1163 0.5015
Ru2 Ru 0.0000 0.5829 0.1722
Ru3 Ru 0.1938 0.7800 0.4508



# 5
# Ce2Ge7Ru12, optimized geometry, DFT PBE-GGA
# volume: 16.06 Å³ per atom
# energy of formation from the pure elements: -0.3167 eV/atom
# total DFT energy (no corrections): -7.721 eV per atom
data_Ce2Ge7Ru12
_symmetry_space_group_name_H-M 'P -6'
_symmetry_Int_Tables_number 174
_cell_length_a 9.8334
_cell_length_b 9.8334
_cell_length_c 4.0265
_cell_angle_alpha 90.00
_cell_angle_beta 90.00
_cell_angle_gamma 120.00
loop_
_symmetry_equiv_pos_as_xyz
'x,y,z'
'-x+y,-x,-z'
'-y,x-y,z'
'x,y,-z'
'-x+y,-x,z'
'-y,x-y,-z'
loop_
_atom_site_label
_atom_site_type_symbol
_atom_site_fract_x
_atom_site_fract_y
_atom_site_fract_z
Ce1 Ce 0.0000 0.0000 0.0000
Ce2 Ce 0.3333 0.6667 0.5000
Ge1 Ge 0.0707 0.4522 0.0000
Ge2 Ge 0.2657 0.2267 0.5000
Ge3 Ge 0.6667 0.3333 0.0000
Ru1 Ru 0.0451 0.2823 0.5000
Ru2 Ru 0.1012 0.7126 0.0000
Ru3 Ru 0.3874 0.1815 0.0000
Ru4 Ru 0.5578 0.4343 0.5000



# 6
# Ce4GeRu2, optimized geometry, DFT PBE-GGA
# volume: 23.76 Å³ per atom
# energy of formation from the pure elements: -0.4123 eV/atom
# total DFT energy (no corrections): -7.113 eV per atom
data_Ce4GeRu2
_symmetry_space_group_name_H-M 'F d d 2'
_symmetry_Int_Tables_number 43
_symmetry_space_group_name_Hall 'F 2 -2d'
_cell_length_a 12.5536
_cell_length_b 12.8695
_cell_length_c 8.2364
_cell_angle_alpha 90.00
_cell_angle_beta 90.00
_cell_angle_gamma 90.00
loop_
_atom_site_label
_atom_site_type_symbol
_atom_site_fract_x
_atom_site_fract_y
_atom_site_fract_z
Ce1 Ce 0.0681 0.3864 0.0000
Ce2 Ce 0.1229 0.3056 0.3933
Ge1 Ge 0.0000 0.0000 0.8241
Ru1 Ru 0.0592 0.2991 0.6779



# 7
# Ce6Ge3Ru, optimized geometry, DFT PBE-GGA
# volume: 25.18 Å³ per atom
# energy of formation from the pure elements: -0.4681 eV/atom
# total DFT energy (no corrections): -6.341 eV per atom
data_Ce6Ge3Ru
_symmetry_space_group_name_H-M 'P 1 21/c 1'
_symmetry_Int_Tables_number 14
_cell_length_a 5.6932
_cell_length_b 8.2713
_cell_length_c 12.0183
_cell_angle_alpha 90.00
_cell_angle_beta 117.16
_cell_angle_gamma 90.00
loop_
_symmetry_equiv_pos_as_xyz
'x,y,z'
'-x,-y,-z'
'-x,y+1/2,-z+1/2'
'x,-y+1/2,z+1/2'
loop_
_atom_site_label
_atom_site_type_symbol
_atom_site_fract_x
_atom_site_fract_y
_atom_site_fract_z
Ce1 Ce 0.0073 0.1584 0.4457
Ce2 Ce 0.3425 0.0186 0.2363
Ce3 Ce 0.3678 0.6491 0.4382
Ge1 Ge 0.1488 0.1387 0.7478
Ge2 Ge 0.5000 0.0000 0.5000
Ru1 Ru 0.0000 0.0000 0.0000



# 8
# CeGeRu2, optimized geometry, DFT PBE-GGA
# energy above the most stable polymorph in this dataset: 0 meV per atom
# volume: 17.95 Å³ per atom
# energy of formation from the pure elements: -0.4706 eV/atom
# total DFT energy (no corrections): -7.746 eV per atom
data_CeGeRu2
_symmetry_space_group_name_H-M 'P 1 21/m 1'
_symmetry_Int_Tables_number 11
_cell_length_a 4.7134
_cell_length_b 4.3672
_cell_length_c 7.1763
_cell_angle_alpha 90.00
_cell_angle_beta 103.58
_cell_angle_gamma 90.00
loop_
_symmetry_equiv_pos_as_xyz
'x,y,z'
'-x,-y,-z'
'-x,y+1/2,-z'
'x,-y+1/2,z'
loop_
_atom_site_label
_atom_site_type_symbol
_atom_site_fract_x
_atom_site_fract_y
_atom_site_fract_z
Ce1 Ce 0.1554 0.2500 0.2095
Ge1 Ge 0.3142 0.2500 0.6894
Ru1 Ru 0.2587 0.7500 0.5063
Ru2 Ru 0.3554 0.7500 0.9247



# 9
# CeGeRu2, optimized geometry, DFT PBE-GGA
# energy above the most stable polymorph in this dataset: 51 meV per atom
# volume: 16.93 Å³ per atom
# energy of formation from the pure elements: -0.4199 eV/atom
# total DFT energy (no corrections): -7.696 eV per atom
data_CeGeRu2
_symmetry_space_group_name_H-M 'P 4/m m m'
_symmetry_Int_Tables_number 123
_symmetry_space_group_name_Hall '-P 4 2'
_cell_length_a 4.3372
_cell_length_b 4.3372
_cell_length_c 3.5995
_cell_angle_alpha 90.00
_cell_angle_beta 90.00
_cell_angle_gamma 90.00
loop_
_atom_site_label
_atom_site_type_symbol
_atom_site_fract_x
_atom_site_fract_y
_atom_site_fract_z
Ce1 Ce 0.0000 0.0000 0.0000
Ge1 Ge 0.5000 0.5000 0.0000
Ru1 Ru 0.0000 0.5000 0.5000



# 10
# Ce2Ge3Ru, optimized geometry, DFT PBE-GGA
# energy above the most stable polymorph in this dataset: 305 meV per atom
# volume: 22.09 Å³ per atom
# energy of formation from the pure elements: -0.3547 eV/atom
# total DFT energy (no corrections): -6.187 eV per atom
data_Ce2Ge3Ru
_symmetry_space_group_name_H-M 'I m m m'
_symmetry_Int_Tables_number 71
_symmetry_space_group_name_Hall '-I 2 2'
_cell_length_a 3.5075
_cell_length_b 4.8283
_cell_length_c 15.6531
_cell_angle_alpha 90.00
_cell_angle_beta 90.00
_cell_angle_gamma 90.00
loop_
_atom_site_label
_atom_site_type_symbol
_atom_site_fract_x
_atom_site_fract_y
_atom_site_fract_z
Ce1 Ce 0.0000 0.0000 0.1520
Ge1 Ge 0.0000 0.0000 0.3392
Ge2 Ge 0.0000 0.5000 0.5000
Ru1 Ru 0.0000 0.0000 0.5000



# 11
# CeGe3Ru, optimized geometry, DFT PBE-GGA
# volume: 18.67 Å³ per atom
# energy of formation from the pure elements: -0.6086 eV/atom
# total DFT energy (no corrections): -6.421 eV per atom
data_CeGe3Ru
_symmetry_space_group_name_H-M 'P m -3 n'
_symmetry_Int_Tables_number 223
_symmetry_space_group_name_Hall '-P 4n 2 3'
_cell_length_a 9.0722
_cell_length_b 9.0722
_cell_length_c 9.0722
_cell_angle_alpha 90.00
_cell_angle_beta 90.00
_cell_angle_gamma 90.00
loop_
_atom_site_label
_atom_site_type_symbol
_atom_site_fract_x
_atom_site_fract_y
_atom_site_fract_z
Ce1 Ce 0.0000 0.0000 0.0000
Ce2 Ce 0.0000 0.2500 0.5000
Ge1 Ge 0.0000 0.3261 0.1532
Ru1 Ru 0.2500 0.2500 0.2500



# 12
# Ce3Ge2Ru, optimized geometry, DFT PBE-GGA
# energy above the most stable polymorph in this dataset: 207 meV per atom
# volume: 25.37 Å³ per atom
# energy of formation from the pure elements: -0.4678 eV/atom
# total DFT energy (no corrections): -6.520 eV per atom
data_Ce3Ge2Ru
_symmetry_space_group_name_H-M 'C 1 2/m 1'
_symmetry_Int_Tables_number 12
_cell_length_a 7.1974
_cell_length_b 12.4315
_cell_length_c 7.2164
_cell_angle_alpha 90.00
_cell_angle_beta 109.43
_cell_angle_gamma 90.00
loop_
_symmetry_equiv_pos_as_xyz
'x,y,z'
'-x,-y,-z'
'-x,y,-z'
'x,-y,z'
'x+1/2,y+1/2,z'
'-x+1/2,-y+1/2,-z'
'-x+1/2,y+1/2,-z'
'x+1/2,-y+1/2,z'
loop_
_atom_site_label
_atom_site_type_symbol
_atom_site_fract_x
_atom_site_fract_y
_atom_site_fract_z
Ce1 Ce 0.2283 0.0000 0.2303
Ce2 Ce 0.2477 0.1741 0.7641
Ge1 Ge 0.0000 0.0000 0.5000
Ge2 Ge 0.0000 0.3406 0.5000
Ge3 Ge 0.0000 0.5000 0.0000
Ru1 Ru 0.0000 0.1679 0.0000



# 13
# Ce4GeRu5, optimized geometry, DFT PBE-GGA
# volume: 19.92 Å³ per atom
# energy of formation from the pure elements: -0.3167 eV/atom
# total DFT energy (no corrections): -7.790 eV per atom
data_Ce4GeRu5
_symmetry_space_group_name_H-M 'I 4'
_symmetry_Int_Tables_number 79
_cell_length_a 8.5306
_cell_length_b 8.5306
_cell_length_c 5.4739
_cell_angle_alpha 90.00
_cell_angle_beta 90.00
_cell_angle_gamma 90.00
loop_
_symmetry_equiv_pos_as_xyz
'x,y,z'
'-y,x,z'
'-x,-y,z'
'y,-x,z'
'x+1/2,y+1/2,z+1/2'
'-y+1/2,x+1/2,z+1/2'
'-x+1/2,-y+1/2,z+1/2'
'y+1/2,-x+1/2,z+1/2'
loop_
_atom_site_label
_atom_site_type_symbol
_atom_site_fract_x
_atom_site_fract_y
_atom_site_fract_z
Ce1 Ce 0.0933 0.6984 0.0000
Ge1 Ge 0.0000 0.0000 0.6875
Ru1 Ru 0.0000 0.0000 0.1374
Ru2 Ru 0.0720 0.7489 0.4713



# 14
# Ce3Ge2Ru, optimized geometry, DFT PBE-GGA
# energy above the most stable polymorph in this dataset: 0 meV per atom
# volume: 23.27 Å³ per atom
# energy of formation from the pure elements: -0.6748 eV/atom
# total DFT energy (no corrections): -6.727 eV per atom
data_Ce3Ge2Ru
_symmetry_space_group_name_H-M 'P n m a'
_symmetry_Int_Tables_number 62
_cell_length_a 12.1207
_cell_length_b 4.4188
_cell_length_c 10.4278
_cell_angle_alpha 90.00
_cell_angle_beta 90.00
_cell_angle_gamma 90.00
loop_
_symmetry_equiv_pos_as_xyz
'x,y,z'
'-x,-y,-z'
'-x+1/2,-y,z+1/2'
'x+1/2,y,-z+1/2'
'x+1/2,-y+1/2,-z+1/2'
'-x+1/2,y+1/2,z+1/2'
'-x,y+1/2,-z'
'x,-y+1/2,z'
loop_
_atom_site_label
_atom_site_type_symbol
_atom_site_fract_x
_atom_site_fract_y
_atom_site_fract_z
Ce1 Ce 0.0484 0.2500 0.1005
Ce2 Ce 0.1227 0.7500 0.5562
Ce3 Ce 0.2412 0.2500 0.7834
Ge1 Ge 0.0021 0.7500 0.2953
Ge2 Ge 0.2044 0.7500 0.9877
Ru1 Ru 0.1108 0.2500 0.3498



# 15
# Ce4Ge6Ru7, optimized geometry, DFT PBE-GGA
# volume: 17.63 Å³ per atom
# energy of formation from the pure elements: -0.6840 eV/atom
# total DFT energy (no corrections): -7.529 eV per atom
data_Ce4Ge6Ru7
_symmetry_space_group_name_H-M 'I m -3 m'
_symmetry_Int_Tables_number 229
_symmetry_space_group_name_Hall '-I 4 2 3'
_cell_length_a 8.4321
_cell_length_b 8.4321
_cell_length_c 8.4321
_cell_angle_alpha 90.00
_cell_angle_beta 90.00
_cell_angle_gamma 90.00
loop_
_atom_site_label
_atom_site_type_symbol
_atom_site_fract_x
_atom_site_fract_y
_atom_site_fract_z
Ce1 Ce 0.2500 0.2500 0.2500
Ge1 Ge 0.0000 0.0000 0.3155
Ru1 Ru 0.0000 0.0000 0.0000
Ru2 Ru 0.0000 0.2500 0.5000



# 16
# Ce8Ge6Ru, optimized geometry, DFT PBE-GGA
# volume: 24.75 Å³ per atom
# energy of formation from the pure elements: -0.4394 eV/atom
# total DFT energy (no corrections): -6.069 eV per atom
data_Ce8Ge6Ru
_symmetry_space_group_name_H-M 'R -3'
_symmetry_Int_Tables_number 148
_symmetry_space_group_name_Hall '-R 3'
_cell_length_a 8.5608
_cell_length_b 8.5608
_cell_length_c 17.5495
_cell_angle_alpha 90.00
_cell_angle_beta 90.00
_cell_angle_gamma 120.00
loop_
_atom_site_label
_atom_site_type_symbol
_atom_site_fract_x
_atom_site_fract_y
_atom_site_fract_z
Ce1 Ce 0.0000 0.0000 0.0774
Ce2 Ce 0.0212 0.7467 0.7473
Ge1 Ge 0.0357 0.7539 0.5746
Ru1 Ru 0.0000 0.0000 0.5000



# 17
# Ce6GeRu5, optimized geometry, DFT PBE-GGA
# volume: 22.28 Å³ per atom
# energy of formation from the pure elements: -0.2656 eV/atom
# total DFT energy (no corrections): -7.482 eV per atom
data_Ce6GeRu5
_symmetry_space_group_name_H-M 'C 1 2/m 1'
_symmetry_Int_Tables_number 12
_cell_length_a 7.0318
_cell_length_b 10.9693
_cell_length_c 7.1827
_cell_angle_alpha 90.00
_cell_angle_beta 105.13
_cell_angle_gamma 90.00
loop_
_symmetry_equiv_pos_as_xyz
'x,y,z'
'-x,-y,-z'
'-x,y,-z'
'x,-y,z'
'x+1/2,y+1/2,z'
'-x+1/2,-y+1/2,-z'
'-x+1/2,y+1/2,-z'
'x+1/2,-y+1/2,z'
loop_
_atom_site_label
_atom_site_type_symbol
_atom_site_fract_x
_atom_site_fract_y
_atom_site_fract_z
Ce1 Ce 0.2184 0.0000 0.2247
Ce2 Ce 0.2334 0.1719 0.7248
Ge1 Ge 0.0000 0.5000 0.0000
Ru1 Ru 0.0000 0.0000 0.5000
Ru2 Ru 0.0000 0.2010 0.0000
Ru3 Ru 0.0000 0.3683 0.5000



# 18
# CeGeRu2, optimized geometry, DFT PBE-GGA
# energy above the most stable polymorph in this dataset: 87 meV per atom
# volume: 18.99 Å³ per atom
# energy of formation from the pure elements: -0.3834 eV/atom
# total DFT energy (no corrections): -7.659 eV per atom
data_CeGeRu2
_symmetry_space_group_name_H-M 'P 4/n m m'
_symmetry_Int_Tables_number 129
_cell_length_a 4.2330
_cell_length_b 4.2330
_cell_length_c 8.4764
_cell_angle_alpha 90.00
_cell_angle_beta 90.00
_cell_angle_gamma 90.00
loop_
_symmetry_equiv_pos_as_xyz
'x,y,z'
'-x,-y,-z'
'-y+1/2,x,z'
'y+1/2,-x,-z'
'-x+1/2,-y+1/2,z'
'x+1/2,y+1/2,-z'
'y,-x+1/2,z'
'-y,x+1/2,-z'
'x+1/2,-y,-z'
'-x+1/2,y,z'
'-y,-x,-z'
'y,x,z'
'-x,y+1/2,-z'
'x,-y+1/2,z'
'y+1/2,x+1/2,-z'
'-y+1/2,-x+1/2,z'
loop_
_atom_site_label
_atom_site_type_symbol
_atom_site_fract_x
_atom_site_fract_y
_atom_site_fract_z
Ce1 Ce 0.2500 0.2500 0.2233
Ge1 Ge 0.2500 0.2500 0.6517
Ru1 Ru 0.2500 0.2500 0.9600
Ru2 Ru 0.2500 0.7500 0.5000



# 19
# Ce2Ge4Ru3, optimized geometry, DFT PBE-GGA
# energy above the most stable polymorph in this dataset: 103 meV per atom
# volume: 18.66 Å³ per atom
# energy of formation from the pure elements: -0.5025 eV/atom
# total DFT energy (no corrections): -6.965 eV per atom
data_Ce2Ge4Ru3
_symmetry_space_group_name_H-M 'F m m m'
_symmetry_Int_Tables_number 69
_symmetry_space_group_name_Hall '-F 2 2'
_cell_length_a 5.5891
_cell_length_b 9.8196
_cell_length_c 12.2410
_cell_angle_alpha 90.00
_cell_angle_beta 90.00
_cell_angle_gamma 90.00
loop_
_atom_site_label
_atom_site_type_symbol
_atom_site_fract_x
_atom_site_fract_y
_atom_site_fract_z
Ce1 Ce 0.0000 0.0000 0.1254
Ge1 Ge 0.0000 0.1701 0.3417
Ru1 Ru 0.0000 0.0000 0.5000
Ru2 Ru 0.2500 0.2500 0.0000